# 1
The following is a PBE calculation of a relaxed RbNa2HgPd crystal, from Alexandria via LeMat-Bulk.

The structure belongs to space group P4/mmm (No. 123); the cell edges are 5.762, 5.762 and 5.330 Å and the angles 90.00°, 90.00° and 90.00°. The distinct sites, in fractional coordinates, are Rb at (0.000, 0.000, 0.000), Na at (0.000, 0.500, 0.500), Hg at (0.500, 0.500, 0.500) and Pd at (0.500, 0.500, 0.000).

The distance to the lowest polymorph of the same formula is 157 meV/atom. The calculation puts the formation energy at 0.041 eV per atom.

=====

# 2
The following is a PBE calculation of a relaxed Tc2PtW crystal, from Alexandria via LeMat-Bulk.

The structure belongs to space group Fm-3m (No. 225); the cell edges are 6.264, 6.264 and 6.264 Å and the angles 90.00°, 90.00° and 90.00°. The distinct sites, in fractional coordinates, are Tc at (0.250, 0.250, 0.250), Pt at (0.000, 0.000, 0.000) and W at (0.000, 0.000, 0.500).

The distance to the lowest polymorph of the same formula is 335 meV/atom. The calculation puts the formation energy at 0.170 eV per atom.

=====

# 3
The following is a PBE calculation of a relaxed ScSeI crystal, from Alexandria via LeMat-Bulk.

The structure belongs to space group P-1 (No. 2); the cell edges are 4.010, 6.995 and 7.302 Å and the angles 93.22°, 90.71° and 90.00°. The distinct sites, in fractional coordinates, are Sc at (0.250, 0.217, 0.009), Se at (0.245, 0.903, 0.794) and I at (0.255, 0.595, 0.236).

The uncorrected formation energy is -1.48 eV per atom.

=====

# 4
The following is a PBE calculation of a relaxed Zn3SiPb crystal, from Alexandria via LeMat-Bulk.

The structure belongs to space group Pm-3m (No. 221); the cell edges are 5.240, 5.240 and 5.240 Å and the angles 90.00°, 90.00° and 90.00°. The distinct sites, in fractional coordinates, are Zn at (0.000, 0.000, 0.500), Si at (0.500, 0.500, 0.500) and Pb at (0.000, 0.000, 0.000).

The distance to the lowest polymorph of the same formula is 669 meV/atom. The uncorrected formation energy is 1.05 eV per atom.

=====

# 5
The following is a PBE calculation of a relaxed Ac2PrI crystal, from Alexandria via LeMat-Bulk.

The structure belongs to space group R3m (No. 160, hexagonal axes); the cell edges are 4.0342, 4.0342 and 34.9045 Å and the angles 90.00°, 90.00° and 120.00°. The distinct sites, in fractional coordinates, are Ac at (0.0000, 0.0000, 0.0000), Ac at (0.0000, 0.0000, 0.1770), Pr at (0.0000, 0.0000, 0.7553) and I at (0.0000, 0.0000, 0.5890).

The distance to the lowest polymorph of the same formula is 0 meV/atom. The uncorrected formation energy is -0.41 eV per atom.

=====

# 6
The following is a PBE calculation of a relaxed Ac4TlIn3 crystal, from Alexandria via LeMat-Bulk.

The structure belongs to space group I4/mmm (No. 139); the cell edges are 5.812, 5.812 and 16.532 Å and the angles 90.00°, 90.00° and 90.00°. The distinct sites, in fractional coordinates, are Ac at (0.000, 0.500, 0.126), Tl at (0.000, 0.000, 0.000), In at (0.000, 0.000, 0.250) and In at (0.000, 0.000, 0.500).

The distance to the lowest polymorph of the same formula is 2 meV/atom. The calculation puts the formation energy at -0.405 eV per atom.

=====

# 7
The following is a PBE calculation of a relaxed La4Pr9Tl11 crystal, from Alexandria via LeMat-Bulk.

The structure belongs to space group Cmmm (No. 65); the cell edges are 16.774, 23.879 and 3.706 Å and the angles 90.00°, 90.00° and 90.00°. The distinct sites, in fractional coordinates, are La at (0.169, 0.083, 0.000), Pr at (0.000, 0.000, 0.000), Pr at (0.109, 0.405, 0.000), Pr at (0.114, 0.225, 0.000), Tl at (0.000, 0.123, 0.500), Tl at (0.000, 0.312, 0.500), Tl at (0.000, 0.500, 0.500), Tl at (0.208, 0.500, 0.500) and Tl at (0.227, 0.318, 0.500).

The calculation puts the formation energy at -0.334 eV per atom.

=====

# 8
The following is a PBE calculation of a relaxed Sm5In2Rh crystal, from Alexandria via LeMat-Bulk.

The structure belongs to space group Pbam (No. 55); the cell edges are 7.640, 12.462 and 4.863 Å and the angles 90.00°, 90.00° and 90.00°. The distinct sites, in fractional coordinates, are Sm at (0.000, 0.000, 0.000), Sm at (0.130, 0.293, 0.000), Sm at (0.183, 0.576, 0.500), In at (0.086, 0.835, 0.500) and Rh at (0.000, 0.500, 0.000).

The calculation puts the formation energy at -0.466 eV per atom.

=====

Record order is preserved below.
Theoretical density: 4114 15538 4074 4980 7309 8664 9112 7778 kg/m³